14
Lattice="-3.504 -0.721 -5.592 2.247 -3.364 -4.915 -2.540 -5.606 -1.626" Properties=species:S:1:pos:R:3 comment="TlFeGeO4 GGA+U relaxed" volume_a3_per_atom=13.14 mass_density_g_cm3=7.16 e_tot_ev_per_fu=-40.453 pbc="T T T"
O -2.814 -7.465 -9.096
O 0.089 -4.196 -5.678
O -1.201 -6.746 -6.258
O -2.358 -5.181 -4.018
O -2.596 -2.946 -5.875
O -0.983 -2.227 -3.037
O -1.439 -4.511 -8.115
O -3.885 -5.495 -6.455
Ge -1.066 -3.349 -6.781
Ge -2.731 -6.343 -5.352
Fe -3.022 -3.164 -3.609
Fe -1.270 -2.803 -0.813
Tl -0.146 -4.485 -3.270
Tl 0.000 0.000 0.000